AcDy6Ho3Er2 PBE-GGA relaxed; DFT formation energy = 33 meV per atom; symmetry = C2/m, No. 12
1.0
3.0879 -5.3454 0.0000
3.0879 5.3454 0.0000
-2.0519 0.0000 11.6465
Ac Dy Ho Er
1 6 3 2
direct
0.0000 0.0000 0.0000 Ac
0.0853 0.4220 0.2544 Dy
0.2514 0.2514 0.7453 Dy
0.4220 0.0853 0.2544 Dy
0.5780 0.9147 0.7456 Dy
0.7486 0.7486 0.2547 Dy
0.9147 0.5780 0.7456 Dy
0.1671 0.8329 0.5000 Ho
0.5000 0.5000 0.5000 Ho
0.8329 0.1671 0.5000 Ho
0.3334 0.6666 0.0000 Er
0.6666 0.3334 0.0000 Er